Record 1
Computed, not measured: an optimized crystal structure of CsNa2GaGe at the PBE-GGA level of DFT. Values from VASP.

## Properties
**Space-group type**: P4/mmm
**ΔH_f (0 K)**: 0.0109 eV/atom

Structure (Quantum ESPRESSO input):
```
&SYSTEM
  ibrav = 0, nat = 5, ntyp = 4
/
ATOMIC_SPECIES
Cs 132.91 Cs.upf
Na 22.99 Na.upf
Ge 72.64 Ge.upf
Ga 69.72 Ga.upf
CELL_PARAMETERS angstrom
-0.468 5.660 1.245
-5.790 -0.402 -0.350
-0.232 -1.157 5.171
ATOMIC_POSITIONS crystal
Cs 0.500 0.500 0.500
Na 0.000 0.500 0.000
Na 0.500 0.000 0.000
Ge 0.000 0.000 0.000
Ga 0.000 0.000 0.500
```

=====

Record 2
Computed, not measured: an optimized crystal structure of CsGaGeO4 at the PBE-GGA level of DFT. Values from VASP.

## Properties
**Space-group type**: P2_1/m
**Energy relative to the elements, uncorrected**: -1.648 eV per atom

Structure (Quantum ESPRESSO input):
```
&SYSTEM
  ibrav = 0, nat = 14, ntyp = 4
/
ATOMIC_SPECIES
Cs 132.91 Cs.upf
Ga 69.72 Ga.upf
Ge 72.64 Ge.upf
O 16.00 O.upf
CELL_PARAMETERS angstrom
5.252 0.000 -1.113
0.000 5.600 0.000
-3.511 0.000 8.793
ATOMIC_POSITIONS crystal
Cs 0.633 0.750 0.892
Cs 0.367 0.250 0.108
Ga 0.803 0.750 0.472
Ga 0.197 0.250 0.528
Ge 0.210 0.750 0.368
Ge 0.790 0.250 0.632
O 0.041 0.479 0.644
O 0.959 0.979 0.356
O 0.959 0.521 0.356
O 0.041 0.021 0.644
O 0.357 0.750 0.241
O 0.643 0.250 0.759
O 0.556 0.750 0.567
O 0.444 0.250 0.433
```

=====

Number 1: VASP energy -11.1 eV per cell, calculated volume 35.85 Å³ per atom, DOS at the Fermi energy 0.52 states/eV/atom. Number 2: VASP energy -79.7 eV per cell, calculated volume 16.91 Å³ per atom, DOS at the Fermi energy 0.00 states/eV/atom.